Record 1
# Cd2ReSb SCAN single point on PBEsol structure
# E_tot   -41.535 eV per atom
# Formation energy without anion corrections   0.7613 eV per atom
data_Cd2ReSb
_space_group_name_H-M_alt 'P 4/m m m'
_space_group_IT_number 123
_space_group_name_Hall '-P 4 2'
_cell_length_a 4.0010
_cell_length_b 4.0010
_cell_length_c 4.7400
_cell_angle_alpha 90.00
_cell_angle_beta 90.00
_cell_angle_gamma 90.00
loop_
_atom_site_label
_atom_site_type_symbol
_atom_site_fract_x
_atom_site_fract_y
_atom_site_fract_z
Cd1 Cd 0.0000 0.5000 0.0000
Re1 Re 0.0000 0.0000 0.5000
Sb1 Sb 0.5000 0.5000 0.5000

Record 2
# BiHF2 SCAN single point on PBEsol structure
# E_tot   -23.626 eV per atom
data_BiHF2
_space_group_name_H-M_alt 'R -3 m'
_space_group_IT_number 166
_space_group_name_Hall '-R 3 2"'
_cell_length_a 3.2812
_cell_length_b 3.2812
_cell_length_c 18.9284
_cell_angle_alpha 90.00
_cell_angle_beta 90.00
_cell_angle_gamma 120.00
loop_
_atom_site_label
_atom_site_type_symbol
_atom_site_fract_x
_atom_site_fract_y
_atom_site_fract_z
Bi1 Bi 0.0000 0.0000 0.0000
H1 H 0.0000 0.0000 0.5000
F1 F 0.0000 0.0000 0.4393

Record 3
# Y2Si2Sn SCAN single point on PBEsol structure
# E_tot   -22.899 eV per atom
# Formation energy without anion corrections   -0.5711 eV per atom
data_Y2Si2Sn
_space_group_name_H-M_alt 'I 4/m m m'
_space_group_IT_number 139
_space_group_name_Hall '-I 4 2'
_cell_length_a 3.5939
_cell_length_b 3.5939
_cell_length_c 17.3552
_cell_angle_alpha 90.00
_cell_angle_beta 90.00
_cell_angle_gamma 90.00
loop_
_atom_site_label
_atom_site_type_symbol
_atom_site_fract_x
_atom_site_fract_y
_atom_site_fract_z
Y1 Y 0.0000 0.0000 0.1158
Si1 Si 0.0000 0.5000 0.2500
Sn1 Sn 0.0000 0.0000 0.5000

Record 4
# BaTlRu SCAN single point on PBEsol structure
# E_tot   -47.689 eV per atom
# Calculated formation energy   1.223 eV/atom
data_BaTlRu
_space_group_name_H-M_alt 'F -4 3 m'
_space_group_IT_number 216
_space_group_name_Hall 'F -4 2 3'
_cell_length_a 7.2569
_cell_length_b 7.2569
_cell_length_c 7.2569
_cell_angle_alpha 90.00
_cell_angle_beta 90.00
_cell_angle_gamma 90.00
loop_
_atom_site_label
_atom_site_type_symbol
_atom_site_fract_x
_atom_site_fract_y
_atom_site_fract_z
Ba1 Ba 0.0000 0.0000 0.0000
Tl1 Tl 0.2500 0.2500 0.2500
Ru1 Ru 0.2500 0.2500 0.7500

Record 5
# KCdOs SCAN single point on PBEsol structure
# E_tot   -35.739 eV per atom
# Calculated formation energy   1.135 eV/atom
data_KCdOs
_space_group_name_H-M_alt 'I 4 m m'
_space_group_IT_number 107
_space_group_name_Hall 'I 4 -2'
_cell_length_a 3.4744
_cell_length_b 3.4744
_cell_length_c 12.0739
_cell_angle_alpha 90.00
_cell_angle_beta 90.00
_cell_angle_gamma 90.00
loop_
_atom_site_label
_atom_site_type_symbol
_atom_site_fract_x
_atom_site_fract_y
_atom_site_fract_z
K1 K 0.0000 0.0000 0.0000
Cd1 Cd 0.0000 0.0000 0.2823
Os1 Os 0.0000 0.0000 0.7039

Record 6
# ZrOs SCAN single point on PBEsol structure
# E_tot   -52.046 eV per atom
# Calculated formation energy   -0.756 eV/atom
data_ZrOs
_space_group_name_H-M_alt 'P m -3 m'
_space_group_IT_number 221
_space_group_name_Hall '-P 4 2 3'
_cell_length_a 3.2444
_cell_length_b 3.2444
_cell_length_c 3.2444
_cell_angle_alpha 90.00
_cell_angle_beta 90.00
_cell_angle_gamma 90.00
loop_
_atom_site_label
_atom_site_type_symbol
_atom_site_fract_x
_atom_site_fract_y
_atom_site_fract_z
Zr1 Zr 0.0000 0.0000 0.0000
Os1 Os 0.5000 0.5000 0.5000

Record 7
# SrYZr2 SCAN single point on PBEsol structure
# Distance to the lowest polymorph of the same formula   0.0 meV/atom
# E_tot   -27.439 eV per atom
# Calculated formation energy   0.440 eV/atom
data_SrYZr2
_space_group_name_H-M_alt 'C 1 2/m 1'
_space_group_IT_number 12
_space_group_name_Hall '-C 2y'
_cell_length_a 11.2293
_cell_length_b 3.2884
_cell_length_c 6.1607
_cell_angle_alpha 90.00
_cell_angle_beta 97.68
_cell_angle_gamma 90.00
loop_
_atom_site_label
_atom_site_type_symbol
_atom_site_fract_x
_atom_site_fract_y
_atom_site_fract_z
Sr1 Sr 0.0000 0.0000 0.0000
Y1 Y 0.0000 0.5000 0.5000
Zr1 Zr 0.2431 0.0000 0.7080

Record 8
# K2PtW SCAN single point on PBEsol structure
# E_tot   -38.232 eV per atom
# Calculated formation energy   0.903 eV/atom
data_K2PtW
_space_group_name_H-M_alt 'I m m 2'
_space_group_IT_number 44
_space_group_name_Hall 'I 2 -2'
_cell_length_a 4.1695
_cell_length_b 5.8282
_cell_length_c 9.6697
_cell_angle_alpha 90.00
_cell_angle_beta 90.00
_cell_angle_gamma 90.00
loop_
_atom_site_label
_atom_site_type_symbol
_atom_site_fract_x
_atom_site_fract_y
_atom_site_fract_z
K1 K 0.0000 0.0000 0.0000
K2 K 0.0000 0.5000 0.1998
Pt1 Pt 0.0000 0.5000 0.7777
W1 W 0.0000 0.0000 0.3979